Entry 1:
The following is a DFT calculation (GGA-PBE) of an optimized crystal structure of Pr3CdN.

Unit cell a=5.073 b=5.073 c=5.073 alpha=90.00 beta=90.00 gamma=90.00
Fractional positions:
Cd 0.000 0.000 0.000
N 0.500 0.500 0.500
Pr 0.500 0.500 0.000
Pr 0.500 0.000 0.500
Pr 0.000 0.500 0.500

Values from the calculation:
- Space group: Pm-3m (221)
- DFT total energy: -5.39 eV per atom

---

Entry 2:
The following is a DFT calculation (GGA-PBE) of an optimized crystal structure of RbPuIr.

Unit cell a=4.918 b=4.918 c=4.918 alpha=60.00 beta=60.00 gamma=60.00
Fractional positions:
Ir 0.000 0.000 0.000
Pu 0.750 0.750 0.750
Rb 0.250 0.250 0.250

Values from the calculation:
- Space group: F-43m (216)
- DFT total energy: -7.36 eV per atom

---

Entry 3:
The following is a DFT calculation (GGA-PBE) of an optimized crystal structure of SbAsW.

Unit cell a=4.498 b=4.498 c=4.498 alpha=60.00 beta=60.00 gamma=60.00
Fractional positions:
As 0.000 0.000 0.000
Sb 0.250 0.250 0.250
W 0.750 0.750 0.750

Values from the calculation:
- Distance to the lowest polymorph of the same formula: 1.34 eV/f.u.
- Space group: F-43m (216)
- DFT total energy: -6.19 eV per atom

---

In the order shown, the computed M_tot values come out to 0.0; 5.7; 0.0 μB per formula unit.